(1)
MnAl: optimized geometry, PBE.

As for the total moment: 3.39 μB per formula unit. As for the space-group type: No. 216. For the formation energy, the calculation gives 2.537 eV per formula unit. The total energy is -5.19 eV per atom.

Cell: 4.0944 4.0944 4.0944 Å, 60.00 60.00 60.00°
Sites, in units of the cell vectors:
1 Mn 0.0000 0.0000 0.0000
2 Al 0.2500 0.2500 0.2500

=====

(2)
Nd2ScTl: optimized geometry, PBE.

As for the energy above the most stable polymorph in this dataset: 37 meV/atom. As for the total moment: 0.00 μB per formula unit. As for the space-group type: No. 123. For the formation energy, the calculation gives -0.547 eV per formula unit. The total energy is -4.70 eV per atom.

Cell: 4.1542 4.1542 6.8446 Å, 90.00 90.00 90.00°
Sites, in units of the cell vectors:
1 Nd 0.0000 0.0000 0.2452
2 Nd 0.0000 0.0000 0.7548
3 Sc 0.5000 0.5000 0.5000
4 Tl 0.5000 0.5000 0.0000

=====

(3)
Mn2SiIrS: optimized geometry, PBE.

As for the energy above the most stable polymorph in this dataset: 63 meV/atom. As for the total moment: 5.09 μB per formula unit. As for the space-group type: No. 38. The raw formation energy comes out at -226 meV per atom. The total energy is -7.58 eV per atom.

Cell: 2.9798 6.8119 6.8119 Å, 28.21 90.00 90.00°
Sites, in units of the cell vectors:
1 Mn 0.0000 0.0000 0.0000
2 Mn 0.5000 0.3905 0.3905
3 Si 0.5000 0.5901 0.5901
4 Ir 0.0000 0.1904 0.1904
5 S 0.0000 0.8308 0.8308

=====

(4)
PmTlGaTe3: optimized geometry, PBE.

As for the total moment: 0.00 μB per formula unit. As for the space-group type: No. 11. The raw formation energy comes out at -730 meV per atom. The total energy is -3.99 eV per atom.

Cell: 9.4728 4.6690 10.2207 Å, 90.00 104.65 90.00°
Sites, in units of the cell vectors:
1 Pm 0.1668 0.2500 0.1395
2 Pm 0.8332 0.7500 0.8605
3 Tl 0.3025 0.7500 0.7783
4 Tl 0.6975 0.2500 0.2217
5 Ga 0.4092 0.7500 0.3965
6 Ga 0.5908 0.2500 0.6035
7 Te 0.0481 0.2500 0.8257
8 Te 0.2879 0.2500 0.4738
9 Te 0.3936 0.7500 0.1235
10 Te 0.6064 0.2500 0.8765
11 Te 0.7121 0.7500 0.5262
12 Te 0.9519 0.7500 0.1743

=====

(5)
KSrBr2: optimized geometry, PBE.

As for the energy above the most stable polymorph in this dataset: 68 meV/atom. As for the total moment: 0.43 μB per formula unit. As for the space-group type: No. 8. The raw formation energy comes out at -1479 meV per atom. The total energy is -3.01 eV per atom.

Cell: 8.7199 8.7199 4.5467 Å, 90.67 90.67 27.65°
Sites, in units of the cell vectors:
1 K 0.0000 0.0000 0.0000
2 Sr 0.7488 0.7488 0.4923
3 Br 0.2053 0.2053 0.9903
4 Br 0.3906 0.3906 0.4980

=====

(6)
PrSbPtAu: optimized geometry, PBE.

As for the total moment: 0.00 μB per formula unit. As for the space-group type: No. 216. The raw formation energy comes out at -672 meV per atom. The total energy is -5.23 eV per atom.

Cell: 5.0375 5.0375 5.0375 Å, 60.00 60.00 60.00°
Sites, in units of the cell vectors:
1 Pr 0.0000 0.0000 0.0000
2 Sb 0.5000 0.5000 0.5000
3 Pt 0.2500 0.2500 0.2500
4 Au 0.7500 0.7500 0.7500

=====

(7)
TmAl4Cu4: optimized geometry, PBE.

As for the total moment: 0.00 μB per formula unit. As for the space-group type: No. 87. For the formation energy, the calculation gives -1.496 eV per formula unit. The total energy is -4.15 eV per atom.

Cell: 6.1602 6.1602 6.1602 Å, 97.20 97.20 138.52°
Sites, in units of the cell vectors:
1 Tm 0.0000 0.0000 0.0000
2 Al 0.0970 0.6299 0.7269
3 Al 0.3701 0.0970 0.4672
4 Al 0.6299 0.9030 0.5328
5 Al 0.9030 0.3701 0.2731
6 Cu 0.2873 0.3847 0.6720
7 Cu 0.3847 0.7127 0.0975
8 Cu 0.6153 0.2873 0.9025
9 Cu 0.7127 0.6153 0.3280

=====

(8)
Ba4PuTh3N8: optimized geometry, PBE.

As for the total moment: 3.67 μB per formula unit. As for the space-group type: No. 166. The raw formation energy comes out at -1068 meV per atom. The total energy is -8.00 eV per atom.

Cell: 7.7536 7.7536 7.7536 Å, 57.74 57.74 57.74°
Sites, in units of the cell vectors:
1 Ba 0.0000 0.0000 0.0000
2 Ba 0.0000 0.5000 0.5000
3 Ba 0.5000 0.0000 0.5000
4 Ba 0.5000 0.5000 0.0000
5 Pu 0.5000 0.5000 0.5000
6 Th 0.0000 0.0000 0.5000
7 Th 0.0000 0.5000 0.0000
8 Th 0.5000 0.0000 0.0000
9 N 0.2290 0.2290 0.2290
10 N 0.2451 0.7195 0.7195
11 N 0.2805 0.2805 0.7549
12 N 0.2805 0.7549 0.2805
13 N 0.7195 0.2451 0.7195
14 N 0.7195 0.7195 0.2451
15 N 0.7549 0.2805 0.2805
16 N 0.7710 0.7710 0.7710

=====

(9)
Sr2PaAlS6: optimized geometry, PBE.

As for the total moment: 0.00 μB per formula unit. As for the space-group type: No. 99. The raw formation energy comes out at -1560 meV per atom. The total energy is -5.70 eV per atom.

Cell: 6.8692 6.8692 5.4317 Å, 90.00 90.00 90.00°
Sites, in units of the cell vectors:
1 Sr 0.0000 0.5000 0.0000
2 Sr 0.5000 0.0000 0.0000
3 Pa 0.0000 0.0000 0.5982
4 Al 0.5000 0.5000 0.5291
5 S 0.0000 0.0000 0.1098
6 S 0.2627 0.2627 0.6369
7 S 0.2627 0.7373 0.6369
8 S 0.5000 0.5000 0.1225
9 S 0.7373 0.2627 0.6369
10 S 0.7373 0.7373 0.6369

=====

(10)
Li2LaIn2: optimized geometry, PBE.

As for the energy above the most stable polymorph in this dataset: 32 meV/atom. As for the total moment: 0.00 μB per formula unit. As for the space-group type: No. 127. For the formation energy, the calculation gives -1.641 eV per formula unit. The total energy is -3.17 eV per atom.

Cell: 8.6219 8.6219 3.1206 Å, 90.00 90.00 90.00°
Sites, in units of the cell vectors:
1 Li 0.1175 0.3825 0.0000
2 Li 0.3825 0.8825 0.0000
3 Li 0.6175 0.1175 0.0000
4 Li 0.8825 0.6175 0.0000
5 La 0.0000 0.0000 0.0000
6 La 0.5000 0.5000 0.0000
7 In 0.1762 0.6762 0.5000
8 In 0.3238 0.1762 0.5000
9 In 0.6762 0.8238 0.5000
10 In 0.8238 0.3238 0.5000

=====

(11)
TmAlSi2Ni4: optimized geometry, PBE.

As for the total moment: 0.00 μB per formula unit. As for the space-group type: No. 166. The raw formation energy comes out at -608 meV per atom. The total energy is -5.88 eV per atom.

Cell: 8.4017 8.4017 8.4017 Å, 27.14 27.14 27.14°
Sites, in units of the cell vectors:
1 Tm 0.0000 0.0000 0.0000
2 Al 0.5000 0.5000 0.5000
3 Si 0.2444 0.2444 0.2444
4 Si 0.7556 0.7556 0.7556
5 Ni 0.1317 0.1317 0.1317
6 Ni 0.4053 0.4053 0.4053
7 Ni 0.5947 0.5947 0.5947
8 Ni 0.8683 0.8683 0.8683

=====

(12)
Nd8Er3Sc2: optimized geometry, PBE.

As for the energy above the most stable polymorph in this dataset: 0 meV/atom. As for the total moment: 0.00 μB per formula unit. As for the space-group type: No. 12. For the formation energy, the calculation gives 2.749 eV per formula unit. The total energy is -4.75 eV per atom.

Cell: 10.6164 10.6164 5.6907 Å, 90.02 90.02 43.04°
Sites, in units of the cell vectors:
1 Nd 0.0940 0.6861 0.9998
2 Nd 0.1790 0.1790 0.5007
3 Nd 0.3139 0.9060 0.0002
4 Nd 0.3686 0.3686 0.5002
5 Nd 0.6314 0.6314 0.4998
6 Nd 0.6861 0.0940 0.9998
7 Nd 0.8210 0.8210 0.4993
8 Nd 0.9060 0.3139 0.0002
9 Er 0.2120 0.7880 0.5000
10 Er 0.5000 0.5000 0.0000
11 Er 0.7880 0.2120 0.5000
12 Sc 0.2609 0.2609 0.0008
13 Sc 0.7391 0.7391 0.9992

=====

(13)
LaYGaGe: optimized geometry, PBE.

As for the energy above the most stable polymorph in this dataset: 0 meV/atom. As for the total moment: 0.16 μB per formula unit. As for the space-group type: No. 38. For the formation energy, the calculation gives -3.067 eV per formula unit. The total energy is -5.53 eV per atom.

Cell: 4.0944 6.0403 6.0403 Å, 43.22 90.00 90.00°
Sites, in units of the cell vectors:
1 La 0.0000 0.0000 0.0000
2 Y 0.5000 0.2790 0.2790
3 Ga 0.5000 0.5713 0.5713
4 Ge 0.0000 0.7211 0.7211

=====

(14)
NaPmSc: optimized geometry, PBE.

As for the energy above the most stable polymorph in this dataset: 32 meV/atom. As for the total moment: 0.00 μB per formula unit. As for the space-group type: No. 164. For the formation energy, the calculation gives 0.631 eV per formula unit. The total energy is -3.92 eV per atom.

Cell: 5.4445 5.4445 7.0534 Å, 90.00 90.00 120.00°
Sites, in units of the cell vectors:
1 Na 0.3333 0.6667 0.0008
2 Na 0.6667 0.3333 0.9992
3 Pm 0.0000 0.0000 0.2701
4 Pm 0.0000 0.0000 0.7299
5 Sc 0.3333 0.6667 0.5003
6 Sc 0.6667 0.3333 0.4997

=====

(15)
HgMoSe2: optimized geometry, PBE.

As for the total moment: 0.00 μB per formula unit. As for the space-group type: No. 160. The raw formation energy comes out at 118 meV per atom. The total energy is -4.41 eV per atom.

Cell: 10.7084 10.7084 10.7084 Å, 16.67 16.67 16.67°
Sites, in units of the cell vectors:
1 Hg 0.0000 0.0000 0.0000
2 Mo 0.7424 0.7424 0.7424
3 Se 0.2459 0.2459 0.2459
4 Se 0.4636 0.4636 0.4636

=====

(16)
GaRh3W: optimized geometry, PBE.

As for the energy above the most stable polymorph in this dataset: 0 meV/atom. As for the total moment: 0.00 μB per formula unit. As for the space-group type: No. 221. For the formation energy, the calculation gives 5.186 eV per formula unit. The total energy is -6.57 eV per atom.

Cell: 4.7218 4.7218 4.7218 Å, 90.00 90.00 90.00°
Sites, in units of the cell vectors:
1 Ga 0.0000 0.0000 0.0000
2 Rh 0.0000 0.5000 0.5000
3 Rh 0.5000 0.0000 0.5000
4 Rh 0.5000 0.5000 0.0000
5 W 0.5000 0.5000 0.5000

=====

(17)
PaCr2PC: optimized geometry, PBE.

As for the total moment: 0.00 μB per formula unit. As for the space-group type: No. 63. For the formation energy, the calculation gives -3.141 eV per formula unit. The total energy is -9.30 eV per atom.

Cell: 5.5709 5.5709 7.0718 Å, 90.00 90.00 141.74°
Sites, in units of the cell vectors:
1 Pa 0.0375 0.9625 0.7500
2 Pa 0.9625 0.0375 0.2500
3 Cr 0.3214 0.6786 0.5605
4 Cr 0.3214 0.6786 0.9395
5 Cr 0.6786 0.3214 0.0605
6 Cr 0.6786 0.3214 0.4395
7 P 0.2411 0.7589 0.2500
8 P 0.7589 0.2411 0.7500
9 C 0.5000 0.5000 0.0000
10 C 0.5000 0.5000 0.5000

=====

(18)
Hg5Sb: optimized geometry, PBE.

As for the energy above the most stable polymorph in this dataset: 191 meV/atom. As for the total moment: 0.00 μB per formula unit. As for the space-group type: No. 191. The raw formation energy comes out at 241 meV per atom. The total energy is -0.70 eV per atom.

Cell: 5.7886 5.7886 5.8685 Å, 90.00 90.00 120.00°
Sites, in units of the cell vectors:
1 Hg 0.0000 0.5000 0.0000
2 Hg 0.3333 0.6667 0.5000
3 Hg 0.5000 0.0000 0.0000
4 Hg 0.5000 0.5000 0.0000
5 Hg 0.6667 0.3333 0.5000
6 Sb 0.0000 0.0000 0.5000

=====

(19)
AcPuGaSb: optimized geometry, PBE.

As for the total moment: 6.03 μB per formula unit. As for the space-group type: No. 216. The raw formation energy comes out at -419 meV per atom. The total energy is -6.82 eV per atom.

Cell: 5.4724 5.4724 5.4724 Å, 60.00 60.00 60.00°
Sites, in units of the cell vectors:
1 Ac 0.0000 0.0000 0.0000
2 Pu 0.5000 0.5000 0.5000
3 Ga 0.2500 0.2500 0.2500
4 Sb 0.7500 0.7500 0.7500

=====

(20)
NaCrAg2S4: optimized geometry, PBE.

As for the total moment: 1.00 μB per formula unit. As for the space-group type: No. 121. The raw formation energy comes out at -434 meV per atom. The total energy is -4.58 eV per atom.

Cell: 6.6313 6.6313 6.6313 Å, 125.70 125.70 80.38°
Sites, in units of the cell vectors:
1 Na 0.0000 0.0000 0.0000
2 Cr 0.5000 0.5000 0.0000
3 Ag 0.2500 0.7500 0.5000
4 Ag 0.7500 0.2500 0.5000
5 S 0.1734 0.5850 0.0000
6 S 0.4150 0.4150 0.5884
7 S 0.5850 0.1734 0.0000
8 S 0.8266 0.8266 0.4116

=====

(21)
AlSn2I8: optimized geometry, PBE.

As for the total moment: 0.00 μB per formula unit. As for the space-group type: No. 12. The raw formation energy comes out at -315 meV per atom. The total energy is -2.51 eV per atom.

Cell: 8.9524 8.9524 10.6971 Å, 99.51 99.51 51.79°
Sites, in units of the cell vectors:
1 Al 0.0000 0.0000 0.0000
2 Sn 0.2075 0.2075 0.3347
3 Sn 0.7925 0.7925 0.6653
4 I 0.1608 0.6724 0.8609
5 I 0.2614 0.2614 0.6141
6 I 0.3276 0.8392 0.1391
7 I 0.3572 0.3572 0.2405
8 I 0.6428 0.6428 0.7595
9 I 0.6724 0.1608 0.8609
10 I 0.7386 0.7386 0.3859
11 I 0.8392 0.3276 0.1391

=====

(22)
ZrRe2Ag: optimized geometry, PBE.

As for the energy above the most stable polymorph in this dataset: 243 meV/atom. As for the total moment: 0.00 μB per formula unit. As for the space-group type: No. 65. For the formation energy, the calculation gives 1.440 eV per formula unit. The total energy is -8.71 eV per atom.

Cell: 2.7490 2.7490 9.4788 Å, 90.00 90.00 108.44°
Sites, in units of the cell vectors:
1 Zr 0.0000 0.0000 0.0000
2 Re 0.5000 0.5000 0.2484
3 Re 0.5000 0.5000 0.7516
4 Ag 0.0000 0.0000 0.5000

=====

(23)
Sm4DyHoTm2: optimized geometry, PBE.

As for the total moment: 0.00 μB per formula unit. As for the space-group type: No. 47. For the formation energy, the calculation gives 0.148 eV per formula unit. The total energy is -4.61 eV per atom.

Cell: 5.0546 5.0695 10.0174 Å, 90.00 90.00 90.00°
Sites, in units of the cell vectors:
1 Sm 0.0000 0.0000 0.2495
2 Sm 0.0000 0.0000 0.7505
3 Sm 0.5000 0.5000 0.2500
4 Sm 0.5000 0.5000 0.7500
5 Dy 0.5000 0.0000 0.5000
6 Ho 0.0000 0.5000 0.0000
7 Tm 0.0000 0.5000 0.5000
8 Tm 0.5000 0.0000 0.0000

=====

(24)
Ta: optimized geometry, PBE.

As for the energy above the most stable polymorph in this dataset: 1210 meV/atom. As for the total moment: 0.00 μB per formula unit. As for the space-group type: No. 136. For the formation energy, the calculation gives 1.210 eV per formula unit. The total energy is -10.64 eV per atom.

Cell: 10.5229 10.5229 4.7556 Å, 90.00 90.00 90.00°
Sites, in units of the cell vectors:
1 Ta 0.0000 0.0000 0.0000
2 Ta 0.0412 0.3788 0.5000
3 Ta 0.0688 0.2585 0.0000
4 Ta 0.1044 0.1044 0.5000
5 Ta 0.1212 0.5412 0.0000
6 Ta 0.2415 0.5688 0.5000
7 Ta 0.2585 0.0688 0.0000
8 Ta 0.3788 0.0412 0.5000
9 Ta 0.3956 0.6044 0.0000
10 Ta 0.4312 0.7585 0.5000
11 Ta 0.4588 0.8788 0.0000
12 Ta 0.5000 0.5000 0.5000
13 Ta 0.5412 0.1212 0.0000
14 Ta 0.5688 0.2415 0.5000
15 Ta 0.6044 0.3956 0.0000
16 Ta 0.6212 0.9588 0.5000
17 Ta 0.7415 0.9312 0.0000
18 Ta 0.7585 0.4312 0.5000
19 Ta 0.8788 0.4588 0.0000
20 Ta 0.8956 0.8956 0.5000
21 Ta 0.9312 0.7415 0.0000
22 Ta 0.9588 0.6212 0.5000